No. 1
KYCr2: optimized geometry, PBE.

Summary:
energy of formation from the pure elements = 0.809 eV per atom
DOS(E_F) = 3.525 states/eV/cell
energy relative to the lowest polymorph listed for this composition = 204 meV per atom

Cell: 7.528 7.528 7.528 Å, 153.43 140.31 48.40°
Site moments in Bohr magnetons follow the coordinates.
Element x y z (fractional)
K 0.545 0.545 0.000  0.01
Cr 0.899 0.899 0.000  3.18
Cr 0.784 0.284 0.500  -2.92
Y 0.273 0.773 0.500  0.00

No. 2
KYCr2: optimized geometry, PBE.

Summary:
energy of formation from the pure elements = 1.476 eV per atom
DOS(E_F) = 7.570 states/eV/cell
energy relative to the lowest polymorph listed for this composition = 871 meV per atom

Cell: 4.611 4.611 11.288 Å, 78.21 78.21 90.00°
Site moments in Bohr magnetons follow the coordinates.
Element x y z (fractional)
Y 0.000 0.000 0.000  -0.30
Y 0.750 0.250 0.500  -0.30
Cr 0.093 0.625 0.250  3.84
Cr 0.375 0.343 0.750  3.84
Cr 0.875 0.907 0.750  3.84
Cr 0.657 0.125 0.250  3.84
K 0.250 0.750 0.500  -0.02
K 0.500 0.500 0.000  -0.02

No. 3
KZn2Cr: optimized geometry, PBE.

Summary:
energy of formation from the pure elements = 0.620 eV per atom
DOS(E_F) = 2.432 states/eV/cell
energy relative to the lowest polymorph listed for this composition = 302 meV per atom

Cell: 5.245 5.245 3.032 Å, 90.00 90.00 90.00°
Site moments in Bohr magnetons follow the coordinates.
Element x y z (fractional)
Zn 0.000 0.000 0.000  -0.05
Zn 0.500 0.500 0.000  -0.05
K 0.000 0.500 0.500  -0.03
Cr 0.500 0.000 0.500  3.60

No. 4
KZnCr2: optimized geometry, PBE.

Summary:
energy of formation from the pure elements = 0.868 eV per atom
DOS(E_F) = 1.708 states/eV/cell

Cell: 6.134 6.134 6.134 Å, 151.51 124.17 63.86°
Site moments in Bohr magnetons follow the coordinates.
Element x y z (fractional)
Cr 0.988 0.988 0.000  3.29
Cr 0.807 0.307 0.500  -3.37
K 0.500 0.500 0.000  0.02
Zn 0.205 0.705 0.500  0.02

No. 5
KZnCr2: optimized geometry, PBE.

Summary:
energy of formation from the pure elements = 1.160 eV per atom
DOS(E_F) = 1.862 states/eV/cell

Cell: 4.675 4.515 4.515 Å, 90.00 90.00 90.00°
Site moments in Bohr magnetons follow the coordinates.
Element x y z (fractional)
Cr 0.000 0.000 0.000  4.01
Cr 0.000 0.500 0.500  4.01
Zn 0.500 0.000 0.500  -0.02
K 0.500 0.500 0.000  0.05

No. 6
K2ZnCr: optimized geometry, PBE.

Summary:
energy of formation from the pure elements = 0.698 eV per atom
DOS(E_F) = 2.551 states/eV/cell

Cell: 5.687 5.687 5.687 Å, 120.60 120.60 88.97°
Site moments in Bohr magnetons follow the coordinates.
Element x y z (fractional)
K 0.250 0.750 0.500  0.01
K 0.000 0.000 0.000  0.03
Cr 0.750 0.250 0.500  4.17
Zn 0.500 0.500 0.000  0.00

No. 7
KZn2Cr: optimized geometry, PBE.

Summary:
energy of formation from the pure elements = 0.376 eV per atom
DOS(E_F) = 2.645 states/eV/cell
energy relative to the lowest polymorph listed for this composition = 58 meV per atom

Cell: 3.699 3.060 8.353 Å, 68.35 90.00 90.00°
Site moments in Bohr magnetons follow the coordinates.
Element x y z (fractional)
Cr 0.500 0.250 0.250  3.44
Zn 0.000 0.580 0.419  -0.02
Zn 0.000 0.920 0.081  -0.02
K 0.500 0.750 0.750  0.00

No. 8
K2ZnCr: optimized geometry, PBE.

Summary:
energy of formation from the pure elements = 0.578 eV per atom
DOS(E_F) = 1.717 states/eV/cell

Cell: 7.046 7.046 6.036 Å, 64.62 64.62 32.33°
Site moments in Bohr magnetons follow the coordinates.
Element x y z (fractional)
Zn 0.545 0.545 0.455  0.04
K 0.783 0.783 0.717  0.01
K 0.980 0.980 0.020  0.01
Cr 0.192 0.192 0.308  4.08

Q: Which formula does entry 5 have?
A: KZnCr2

Q: What is the energy of formation from the pure elements in the first record?
A: 0.809 eV per atom